1.
# Y4Ga2Hg

A relaxed structure of Y4Ga2Hg (GGA-PBE, Alexandria).

Values from the calculation:
- Crystal system: trigonal
- Formation energy from the elements: -314 meV/atom
- Distance to the lowest polymorph of the same formula: 129 meV per atom

Unit cell a=4.985 b=4.985 c=9.519 alpha=74.82 beta=74.82 gamma=60.00
Fractional positions:
Ga 0.902 0.902 0.293
Y 0.204 0.204 0.387
Y 0.381 0.381 0.856
Y 0.619 0.619 0.144
Y 0.796 0.796 0.613
Hg 0.000 0.000 0.000
Ga 0.098 0.098 0.707


2.
# Rb3Ac2TbSe6

A relaxed structure of Rb3Ac2TbSe6 (GGA-PBE, Alexandria).

Values from the calculation:
- Crystal system: monoclinic
- Raw formation energy: -1.775 eV per atom

Unit cell a=7.787 b=7.787 c=8.450 alpha=98.86 beta=98.86 gamma=120.00
Fractional positions:
Tb 0.000 0.000 0.000
Rb 0.500 0.500 0.500
Ac 0.333 0.667 0.000
Se 0.616 0.932 0.797
Rb 0.168 0.832 0.500
Ac 0.667 0.333 0.000
Rb 0.832 0.168 0.500
Se 0.932 0.616 0.797
Se 0.752 0.752 0.203
Se 0.068 0.384 0.203
Se 0.384 0.068 0.203
Se 0.248 0.248 0.797